Entry 1:
A plane-wave DFT calculation with PBE was carried out for crystalline Nd8CS4N3 at its relaxed geometry.

For the formation energy (no corrections), the calculation gives -1.580 eV per atom.

a = 7.6334 Å, b = 7.6334 Å, c = 19.6671 Å
α = 90.00°, β = 90.00°, γ = 120.00°
Closest atoms and distances in Å follow each position.
Space group R-3m (No. 166, hexagonal axes)
One atom of each set of equivalent atoms:
Nd: 0.0000 0.0000 0.2372  3 N 2.60, 3 S 2.90
Nd: 0.9996 0.4998 0.2382  2 N 2.61, 1 C 2.62, 3 S 2.89
C: 0.0000 0.0000 0.5000  6 Nd 2.62
S: 0.0000 0.0000 0.0000  6 Nd 2.89
S: 0.0000 0.5000 0.0000  6 Nd 2.89-2.90
N: 0.0000 0.5000 0.5000  6 Nd 2.60-2.61

***

Entry 2:
A plane-wave DFT calculation with PBE was carried out for crystalline HfZnCo2H at its relaxed geometry.

As for the total energy: -5.90 eV/atom.

a = 3.8663 Å, b = 3.8663 Å, c = 3.8279 Å
α = 90.00°, β = 90.00°, γ = 90.00°
Closest atoms and distances in Å follow each position.
Space group P4/mmm (No. 123)
One atom of each set of equivalent atoms:
Hf: 0.0000 0.0000 0.0000  2 H 1.91
Zn: 0.5000 0.5000 0.0000  8 Co 2.72, 4 Hf 2.73
Co: 0.0000 0.5000 0.5000  2 H 1.93
H: 0.0000 0.0000 0.5000  2 Hf 1.91, 4 Co 1.93

***

Entry 3:
A plane-wave DFT calculation with PBE was carried out for crystalline FeSbIr2 at its relaxed geometry.

For the formation energy (no corrections), the calculation gives 0.175 eV per atom.

a = 3.9243 Å, b = 3.9243 Å, c = 8.0646 Å
α = 90.00°, β = 90.00°, γ = 90.00°
Closest atoms and distances in Å follow each position.
Space group I-4m2 (No. 119)
One atom of each set of equivalent atoms:
Fe: 0.0000 0.0000 0.0000  8 Ir 2.77-2.81, 4 Sb 2.81
Sb: 0.0000 0.5000 0.2500  8 Ir 2.77-2.81, 4 Fe 2.81
Ir: 0.0000 0.0000 0.5000  4 Fe 2.77, 4 Sb 2.81, 4 Ir 2.81
Ir: 0.0000 0.5000 0.7500  4 Sb 2.77, 4 Ir 2.81, 4 Fe 2.81

***

Entry 4:
A plane-wave DFT calculation with PBE was carried out for crystalline TbCuGe2Au at its relaxed geometry.

As for the energy relative to the elements: -0.48 eV per atom.

a = 4.2048 Å, b = 4.2048 Å, c = 10.6012 Å
α = 90.00°, β = 90.00°, γ = 90.00°
Closest atoms and distances in Å follow each position.
Space group I-4m2 (No. 119)
One atom of each set of equivalent atoms:
Tb: 0.0000 0.0000 0.0000  8 Ge 3.21, 4 Cu 3.38, 4 Au 3.38
Cu: 0.0000 0.5000 0.7500  4 Ge 2.54
Ge: 0.0000 0.0000 0.3849  1 Ge 2.44, 2 Cu 2.54, 2 Au 2.54
Au: 0.0000 0.5000 0.2500  4 Ge 2.54

***

Entry 5:
A plane-wave DFT calculation with PBE was carried out for crystalline KMnFe3 at its relaxed geometry.

As for the energy relative to the elements: 3.16 eV per atom.

a = 4.1379 Å, b = 4.1379 Å, c = 4.1379 Å
α = 90.00°, β = 90.00°, γ = 90.00°
Closest atoms and distances in Å follow each position.
Space group Pm-3m (No. 221)
One atom of each set of equivalent atoms:
K: 0.0000 0.0000 0.0000  6 Fe 2.07
Mn: 0.5000 0.5000 0.5000  12 Fe 2.93
Fe: 0.0000 0.0000 0.5000  2 K 2.07

***

Entry 6:
A plane-wave DFT calculation with PBE was carried out for crystalline CsNaAsPd2 at its relaxed geometry.

As for the energy relative to the elements: -0.17 eV per atom.

a = 4.9234 Å, b = 4.9234 Å, c = 5.5023 Å
α = 90.00°, β = 90.00°, γ = 90.00°
Closest atoms and distances in Å follow each position.
Space group P4/mmm (No. 123)
One atom of each set of equivalent atoms:
Cs: 0.0000 0.0000 0.0000  4 Na 3.48, 8 Pd 3.69
Na: 0.5000 0.5000 0.0000  2 As 2.75
As: 0.5000 0.5000 0.5000  4 Pd 2.46, 2 Na 2.75
Pd: 0.0000 0.5000 0.5000  2 As 2.46

***

Entry 7:
A plane-wave DFT calculation with PBE was carried out for crystalline Hf7Al2Sn2 at its relaxed geometry.

As for the energy relative to the elements: -0.12 eV per atom.

a = 3.6051 Å, b = 14.5762 Å, c = 9.2065 Å
α = 90.00°, β = 90.00°, γ = 90.00°
Closest atoms and distances in Å follow each position.
Space group Imm2 (No. 44)
One atom of each set of equivalent atoms:
Hf: 0.0000 0.0000 0.0000  3 Al 2.93-3.00, 2 Sn 3.26
Hf: 0.0000 0.1179 0.4158  3 Al 2.92-2.93, 2 Sn 2.99, 4 Hf 3.12-3.22
Hf: 0.0000 0.3258 0.6536  1 Al 2.69, 3 Sn 2.84-2.95
Hf: 0.0000 0.3491 0.2004  2 Al 2.85, 3 Sn 2.92-3.16, 2 Hf 3.15
Al: 0.0000 0.0000 0.6737  7 Hf 2.85-3.00
Al: 0.0000 0.5000 0.7511  8 Hf 2.69-2.93
Sn: 0.0000 0.2186 0.9257  8 Hf 2.84-3.16

***

Entry 8:
A plane-wave DFT calculation with PBE was carried out for crystalline CaBrO2 at its relaxed geometry.

For the formation energy (no corrections), the calculation gives -1.448 eV per atom.

a = 4.4053 Å, b = 5.8975 Å, c = 13.1452 Å
α = 90.00°, β = 90.00°, γ = 90.00°
Closest atoms and distances in Å follow each position.
Space group Amm2 (No. 38)
One atom of each set of equivalent atoms:
Ca: 0.0000 0.0000 0.0000  4 O 2.44
Ca: 0.5000 0.0000 0.2690  4 O 2.37
Br: 0.0000 0.0000 0.4136  4 Ca 2.91-3.16
Br: 0.5000 0.0000 0.8466  4 Ca 2.99-3.12
O: 0.3488 0.1865 0.1173  1 O 1.33

***

Number 1: density of states at the Fermi level 0.228 states/eV per atom. Number 2: density of states at the Fermi level 0.599 states/eV per atom. Number 3: density of states at the Fermi level 0.957 states/eV per atom. Number 4: density of states at the Fermi level 0.259 states/eV per atom. Number 5: density of states at the Fermi level 3.004 states/eV per atom. Number 6: density of states at the Fermi level 1.280 states/eV per atom. Number 7: density of states at the Fermi level 0.900 states/eV per atom. Number 8: density of states at the Fermi level 0.000 states/eV per atom.